No. 1
MoCl (PBE-GGA, optimized geometry); volume = 349 Å³ per cell; SG = P4/m; D(E_F) = 0.5281 states/eV/atom; uncorrected energy = -6.632 eV/atom; E_form (uncorrected) = -0.293 eV per atom
1.0
-9.143 -3.507 3.873
-1.470 -5.764 -8.690
1.500 -2.419 1.351
Mo Cl
8 8
Direct
0.903 0.400 0.500
0.097 0.600 0.500
0.600 0.903 0.500
0.400 0.097 0.500
0.881 0.583 0.000
0.119 0.417 0.000
0.417 0.881 0.000
0.583 0.119 0.000
0.708 0.681 0.500
0.292 0.319 0.500
0.319 0.708 0.500
0.681 0.292 0.500
0.984 0.216 0.000
0.016 0.784 0.000
0.784 0.984 0.000
0.216 0.016 0.000


No. 2
MoCl (PBE-GGA, optimized geometry); volume = 66 Å³ per cell; SG = P6_3mc; D(E_F) = 0.6980 states/eV/atom; uncorrected energy = -6.005 eV/atom; E_form (uncorrected) = 0.334 eV per atom
1.0
2.992 0.000 0.000
-1.496 2.591 0.000
0.000 0.000 8.475
Mo Cl
2 2
Direct
0.333 0.667 0.684
0.667 0.333 0.184
0.333 0.667 0.398
0.667 0.333 0.898